# 1
Computed, not measured: a geometry-optimized BeNiTe structure at the PBE level of DFT.

The structure in CIF format:
```
data_BeNiTe
_chemical_formula_sum 'Be2 Ni2 Te2'
_space_group_name_H-M_alt 'P 1'
_space_group_IT_number 1
_cell_length_a 3.797
_cell_length_b 3.797
_cell_length_c 8.721
_cell_angle_alpha 89.93
_cell_angle_beta 77.56
_cell_angle_gamma 60.00
loop_
_space_group_symop_operation_xyz
'x,y,z'
loop_
_atom_site_label
_atom_site_fract_x
_atom_site_fract_y
_atom_site_fract_z
Be1 0.000 0.000 0.000
Be2 0.440 0.280 0.837
Ni1 0.266 0.367 0.103
Ni2 0.698 0.651 0.952
Te1 0.499 0.749 0.254
Te2 0.887 0.557 0.664
```

Results
- uncorrected formation energy (kJ/mol of atoms) = -25.76
- magnetic moment (μB/f.u.) = 0.0
- calculated volume (A^3/atom) = 17.6


# 2
Computed, not measured: a geometry-optimized AcTmHgSb structure at the PBE level of DFT.

The structure in CIF format:
```
data_AcTmHgSb
_chemical_formula_sum 'Ac4 Tm4 Hg4 Sb4'
_space_group_name_H-M_alt 'P 1'
_space_group_IT_number 1
_cell_length_a 7.810
_cell_length_b 7.810
_cell_length_c 7.810
_cell_angle_alpha 90.00
_cell_angle_beta 90.00
_cell_angle_gamma 90.00
loop_
_space_group_symop_operation_xyz
'x,y,z'
loop_
_atom_site_label
_atom_site_fract_x
_atom_site_fract_y
_atom_site_fract_z
Ac1 0.000 0.000 0.000
Ac2 0.000 0.500 0.500
Ac3 0.500 0.000 0.500
Ac4 0.500 0.500 0.000
Tm1 0.000 0.000 0.500
Tm2 0.000 0.500 0.000
Tm3 0.500 0.000 0.000
Tm4 0.500 0.500 0.500
Hg1 0.250 0.250 0.750
Hg2 0.250 0.750 0.250
Hg3 0.750 0.250 0.250
Hg4 0.750 0.750 0.750
Sb1 0.250 0.250 0.250
Sb2 0.250 0.750 0.750
Sb3 0.750 0.250 0.750
Sb4 0.750 0.750 0.250
```

Results
- uncorrected formation energy (kJ/mol of atoms) = -54.15
- magnetic moment (μB/f.u.) = 0.0
- calculated volume (A^3/atom) = 29.8


# 3
Computed, not measured: a geometry-optimized Nb6GaGe2 structure at the PBE level of DFT.

The structure in CIF format:
```
data_Nb6GaGe2
_chemical_formula_sum 'Nb12 Ga2 Ge4'
_space_group_name_H-M_alt 'P 1'
_space_group_IT_number 1
_cell_length_a 5.070
_cell_length_b 7.432
_cell_length_c 9.778
_cell_angle_alpha 90.00
_cell_angle_beta 119.70
_cell_angle_gamma 90.00
loop_
_space_group_symop_operation_xyz
'x,y,z'
loop_
_atom_site_label
_atom_site_fract_x
_atom_site_fract_y
_atom_site_fract_z
Nb1 0.041 0.163 0.441
Nb2 0.041 0.337 0.941
Nb3 0.355 0.697 0.430
Nb4 0.355 0.803 0.930
Nb5 0.394 0.028 0.295
Nb6 0.394 0.472 0.795
Nb7 0.606 0.528 0.205
Nb8 0.606 0.972 0.705
Nb9 0.645 0.197 0.070
Nb10 0.645 0.303 0.570
Nb11 0.959 0.663 0.059
Nb12 0.959 0.837 0.559
Ga1 0.000 0.000 0.000
Ga2 0.000 0.500 0.500
Ge1 0.172 0.120 0.759
Ge2 0.172 0.380 0.259
Ge3 0.828 0.620 0.741
Ge4 0.828 0.880 0.241
```

Results
- magnetic moment (μB/f.u.) = 0.0
- calculated volume (A^3/atom) = 17.8
- energy of formation (eV/f.u.) = -1.50


# 4
Computed, not measured: a geometry-optimized PuPaSbAs structure at the PBE level of DFT.

The structure in CIF format:
```
data_PuPaSbAs
_chemical_formula_sum 'Pu1 Pa1 Sb1 As1'
_space_group_name_H-M_alt 'P 1'
_space_group_IT_number 1
_cell_length_a 4.249
_cell_length_b 4.249
_cell_length_c 6.067
_cell_angle_alpha 90.00
_cell_angle_beta 90.00
_cell_angle_gamma 90.00
loop_
_space_group_symop_operation_xyz
'x,y,z'
loop_
_atom_site_label
_atom_site_fract_x
_atom_site_fract_y
_atom_site_fract_z
Pu1 0.000 0.000 0.000
Pa1 0.500 0.500 0.500
Sb1 0.500 0.500 0.000
As1 0.000 0.000 0.500
```

Results
- uncorrected formation energy (kJ/mol of atoms) = -71.12
- magnetic moment (μB/f.u.) = 6.0
- calculated volume (A^3/atom) = 27.4


# 5
Computed, not measured: a geometry-optimized MgNpGa2Rh2 structure at the PBE level of DFT.

The structure in CIF format:
```
data_MgNpGa2Rh2
_chemical_formula_sum 'Mg1 Np1 Ga2 Rh2'
_space_group_name_H-M_alt 'P 1'
_space_group_IT_number 1
_cell_length_a 4.372
_cell_length_b 4.372
_cell_length_c 6.405
_cell_angle_alpha 90.00
_cell_angle_beta 90.00
_cell_angle_gamma 120.00
loop_
_space_group_symop_operation_xyz
'x,y,z'
loop_
_atom_site_label
_atom_site_fract_x
_atom_site_fract_y
_atom_site_fract_z
Mg1 0.000 0.000 0.000
Np1 0.000 0.000 0.500
Ga1 0.333 0.667 0.196
Ga2 0.667 0.333 0.804
Rh1 0.333 0.667 0.755
Rh2 0.667 0.333 0.245
```

Results
- magnetic moment (μB/f.u.) = 3.8
- calculated volume (A^3/atom) = 17.7
- energy of formation (eV/f.u.) = -2.53


# 6
Computed, not measured: a geometry-optimized TmRe3Si2 structure at the PBE level of DFT.

The structure in CIF format:
```
data_TmRe3Si2
_chemical_formula_sum 'Tm3 Re9 Si6'
_space_group_name_H-M_alt 'P 1'
_space_group_IT_number 1
_cell_length_a 8.293
_cell_length_b 8.293
_cell_length_c 9.497
_cell_angle_alpha 105.29
_cell_angle_beta 105.29
_cell_angle_gamma 28.79
loop_
_space_group_symop_operation_xyz
'x,y,z'
loop_
_atom_site_label
_atom_site_fract_x
_atom_site_fract_y
_atom_site_fract_z
Tm1 0.000 0.000 0.000
Tm2 0.160 0.160 0.721
Tm3 0.840 0.840 0.279
Re1 0.038 0.038 0.365
Re2 0.200 0.200 0.382
Re3 0.326 0.326 0.010
Re4 0.376 0.376 0.785
Re5 0.500 0.500 0.500
Re6 0.624 0.624 0.215
Re7 0.674 0.674 0.990
Re8 0.800 0.800 0.618
Re9 0.962 0.962 0.635
Si1 0.204 0.204 0.126
Si2 0.350 0.350 0.510
Si3 0.463 0.463 0.210
Si4 0.537 0.537 0.790
Si5 0.650 0.650 0.490
Si6 0.796 0.796 0.874
```

Results
- uncorrected formation energy (kJ/mol of atoms) = -33.55
- magnetic moment (μB/f.u.) = 0.0
- calculated volume (A^3/atom) = 16.8